{
  "formula": "AcNd2Ho2",
  "functional": "PBE",
  "state": "relaxed",
  "rho_g_cm3": 7.72,
  "delta_e_f_kj_per_mol_atoms": 13,
  "spacegroup": "Cmc2_1, No. 36",
  "e_above_lowest_polymorph_mev_per_atom": 0,
  "e_tot_ev_per_atom": -4.429,
  "vol_a3_per_cell": 363.69,
  "cell": [[-1.8026, 0.0434, -3.2623], [-1.9773, -7.1486, 3.1269], [-9.8979, 5.1600, 5.5377]],
  "species": ["Ho", "Ho", "Nd", "Ho", "Nd", "Ho", "Nd", "Ac", "Ac", "Nd"],
  "fractional_positions": [[0.0649, 0.1297, 0.4450], [0.3059, 0.6117, 0.0947], [0.3014, 0.6028, 0.7911], [0.6941, 0.3883, 0.5947], [0.0083, 0.0165, 0.6988], [0.9351, 0.8703, 0.9450], [0.6986, 0.3972, 0.2911], [0.3706, 0.7413, 0.4558], [0.6294, 0.2587, 0.9558], [0.9917, 0.9835, 0.1988]]
}